Record 1
A plane-wave DFT calculation with PBE was carried out for an optimized crystal structure of La2ScMo.

Values from the calculation:
V = 24.84 A^3/atom
E = -24.95 eV/cell
polymorph energy (0 for the lowest one) = 1.07 eV/f.u.
spin magnetization = 0.00 μB/f.u.

The structure in POSCAR format:
```
La2ScMo
1.0
-4.058 -2.378 -3.295
3.644 -3.921 3.260
-1.784 -0.771 2.580
Mo Sc La
1 1 2
direct
0.000 0.500 0.500
0.500 0.500 0.000
0.500 0.000 0.500
0.000 0.000 0.000
```


Record 2
A plane-wave DFT calculation with PBE was carried out for an optimized crystal structure of Ho4In3Pt.

Values from the calculation:
V = 24.96 A^3/atom
E = -37.86 eV/cell
spin magnetization = 0.00 μB/f.u.

The structure in POSCAR format:
```
Ho4In3Pt
1.0
-2.750 -2.269 -0.212
2.011 -2.572 1.450
-4.704 4.367 14.272
In Ho Pt
3 4 1
direct
0.500 0.500 0.760
0.500 0.500 0.500
0.500 0.500 0.240
0.000 0.000 0.631
0.000 0.000 0.369
0.000 0.000 0.895
0.000 0.000 0.105
0.500 0.500 0.000
```


Record 3
A plane-wave DFT calculation with PBE was carried out for an optimized crystal structure of AlSbAu.

Values from the calculation:
V = 21.13 A^3/atom
E = -11.08 eV/cell
polymorph energy (0 for the lowest one) = 0.35 eV/f.u.
energy relative to the elements, uncorrected = 0.020 eV per atom
spin magnetization = 0.00 μB/f.u.

The structure in POSCAR format:
```
AlSbAu
1.0
6.674 0.047 -0.044
5.797 3.124 -0.031
0.877 -0.148 3.074
Sb Au Al
1 1 1
direct
0.336 0.336 0.664
0.642 0.642 0.358
0.022 0.022 0.978
```


Record 4
A plane-wave DFT calculation with PBE was carried out for an optimized crystal structure of PuMgGePt.

Values from the calculation:
V = 19.86 A^3/atom
E = -28.70 eV/cell
spin magnetization = 4.98 μB/f.u.

The structure in POSCAR format:
```
PuMgGePt
1.0
4.825 0.000 0.000
2.413 4.179 0.000
2.413 1.393 3.940
Ge Mg Pu Pt
1 1 1 1
direct
0.250 0.250 0.250
0.000 0.000 0.000
0.500 0.500 0.500
0.750 0.750 0.750
```


Record 5
A plane-wave DFT calculation with PBE was carried out for an optimized crystal structure of Na2HoTeS4.

Values from the calculation:
V = 23.79 A^3/atom
E = -71.07 eV/cell
energy relative to the elements, uncorrected = -1.083 eV per atom
spin magnetization = 0.00 μB/f.u.

The structure in POSCAR format:
```
Na2HoTeS4
1.0
7.908 0.029 0.181
0.024 7.908 0.181
-3.755 -3.758 5.916
S Na Te Ho
8 4 2 2
direct
0.214 0.732 0.956
0.768 0.286 0.544
0.784 0.772 0.024
0.786 0.268 0.044
0.216 0.228 0.976
0.232 0.714 0.456
0.728 0.716 0.476
0.272 0.284 0.524
0.500 0.500 0.000
0.500 0.000 0.500
0.000 0.000 0.500
0.500 0.000 0.000
0.000 0.000 0.000
0.500 0.500 0.500
0.000 0.500 0.000
0.000 0.500 0.500
```


Record 6
A plane-wave DFT calculation with PBE was carried out for an optimized crystal structure of LaTc2Ni.

Values from the calculation:
V = 20.51 A^3/atom
E = -31.22 eV/cell
polymorph energy (0 for the lowest one) = 0.00 eV/f.u.
spin magnetization = 0.00 μB/f.u.

The structure in POSCAR format:
```
LaTc2Ni
1.0
4.279 0.006 -0.010
2.134 3.708 -0.010
2.146 1.243 5.167
Ni Tc La
1 2 1
direct
0.695 0.695 0.914
0.000 0.000 0.000
0.304 0.304 0.087
0.501 0.501 0.499
```


Record 7
A plane-wave DFT calculation with PBE was carried out for an optimized crystal structure of PaH8Pd2Rh.

Values from the calculation:
V = 10.47 A^3/atom
E = -55.07 eV/cell
spin magnetization = 0.08 μB/f.u.

The structure in POSCAR format:
```
PaH8Pd2Rh
1.0
-4.489 -0.779 1.979
1.148 -1.977 -4.411
2.021 -4.820 2.687
H Pd Rh Pa
8 2 1 1
direct
0.840 0.160 0.169
0.319 0.160 0.169
0.667 0.333 0.642
0.160 0.319 0.831
0.333 0.667 0.358
0.840 0.681 0.169
0.681 0.840 0.831
0.160 0.840 0.831
0.333 0.667 0.634
0.667 0.333 0.366
0.000 0.000 0.000
0.000 0.000 0.500
```


Record 8
A plane-wave DFT calculation with PBE was carried out for an optimized crystal structure of Pr2HoRh2.

Values from the calculation:
V = 25.16 A^3/atom
E = -31.90 eV/cell
spin magnetization = 0.00 μB/f.u.

The structure in POSCAR format:
```
Pr2HoRh2
1.0
3.834 0.000 1.633
1.074 5.294 2.796
-0.321 0.018 6.070
Rh Pr Ho
2 2 1
direct
0.001 0.218 0.281
0.999 0.782 0.719
0.695 0.805 0.304
0.305 0.195 0.696
0.500 0.500 0.000
```


> What is the formula in the fifth record?

Na2HoTeS4